# PBE BaGa2Ni2, optimized geometry
data_BaGa2Ni2
_chemical_formula_sum 'Ba4 Ga8 Ni8'
_cell_length_a 6.267
_cell_length_b 10.971
_cell_length_c 6.810
_cell_angle_alpha 90.00
_cell_angle_beta 117.27
_cell_angle_gamma 90.00
_space_group_name_H-M_alt 'C 1 2/c 1'
_space_group_IT_number 15
loop_
_space_group_symop_operation_xyz
'x,y,z'
'-x,-y,-z'
'-x,y,-z+1/2'
'x,-y,z+1/2'
'x+1/2,y+1/2,z'
'-x+1/2,-y+1/2,-z'
'-x+1/2,y+1/2,-z+1/2'
'x+1/2,-y+1/2,z+1/2'
loop_
_atom_site_label
_atom_site_type_symbol
_atom_site_fract_x
_atom_site_fract_y
_atom_site_fract_z
Ba1 Ba 0.000 0.125 0.250
Ga1 Ga 0.000 0.195 0.750
Ga2 Ga 0.000 0.446 0.250
Ni1 Ni 0.114 0.375 0.978
# **V**: 416.2 Å³ per cell
# **Calculated formation energy**: -0.349 eV per atom
# **Raw total energy**: -4.256 eV per atom
# **Total magnetization**: 0.000 μB/atom